No. 1
Below is a geometry-optimized Ac3TbZn8 structure, with properties calculated at the PBE level.

Summary:
SG: No. 156
DFT total energy (eV per atom): -2.486
Energy of formation from the pure elements (eV/atom): -0.223

Unit cell a=5.876 b=5.876 c=9.002 alpha=90.00 beta=90.00 gamma=120.00
Sites, in units of the cell vectors:
Ac  0.000  0.000  0.000
Ac  0.000  0.000  0.402
Ac  0.333  0.667  0.885
Tb  0.333  0.667  0.504
Zn  0.003  0.501  0.205
Zn  0.354  0.177  0.694
Zn  0.499  0.501  0.205
Zn  0.499  0.997  0.205
Zn  0.667  0.333  0.443
Zn  0.667  0.333  0.959
Zn  0.823  0.177  0.694
Zn  0.823  0.646  0.694


No. 2
Below is a geometry-optimized AcTbZn structure, with properties calculated at the PBE level.

Summary:
SG: No. 139
DFT total energy (eV per atom): -3.321
ΔE to the lowest computed polymorph (eV per atom): 0.1760
Energy of formation from the pure elements (eV/atom): 0.016

Unit cell a=8.667 b=8.667 c=8.667 alpha=96.58 beta=96.58 gamma=140.42
Sites, in units of the cell vectors:
Ac  0.000  0.246  0.246
Ac  0.000  0.754  0.754
Ac  0.246  0.000  0.246
Ac  0.754  0.000  0.754
Tb  0.315  0.315  0.631
Tb  0.315  0.685  0.000
Tb  0.685  0.315  0.000
Tb  0.685  0.685  0.369
Zn  0.119  0.500  0.619
Zn  0.500  0.119  0.619
Zn  0.500  0.881  0.381
Zn  0.881  0.500  0.381


No. 3
Below is a geometry-optimized Ac2TbZn structure, with properties calculated at the PBE level.

Summary:
SG: No. 166
DFT total energy (eV per atom): -3.232
ΔE to the lowest computed polymorph (eV per atom): 0.3873
Energy of formation from the pure elements (eV/atom): 0.298

Unit cell a=3.775 b=3.775 c=37.782 alpha=90.00 beta=90.00 gamma=120.00
Sites, in units of the cell vectors:
Ac  0.000  0.000  0.087
Ac  0.000  0.000  0.913
Ac  0.333  0.667  0.579
Ac  0.333  0.667  0.754
Ac  0.667  0.333  0.246
Ac  0.667  0.333  0.421
Tb  0.000  0.000  0.500
Tb  0.333  0.667  0.167
Tb  0.667  0.333  0.833
Zn  0.000  0.000  0.000
Zn  0.333  0.667  0.667
Zn  0.667  0.333  0.333


The lowest energy of formation from the pure elements belongs to which entry?
Ac3TbZn8


The highest DFT total energy belongs to which entry?
Ac3TbZn8


Please write out number 1 again, unchanged.
Below is a geometry-optimized Ac3TbZn8 structure, with properties calculated at the PBE level.

Summary:
SG: No. 156
DFT total energy (eV per atom): -2.486
Energy of formation from the pure elements (eV/atom): -0.223

Unit cell a=5.876 b=5.876 c=9.002 alpha=90.00 beta=90.00 gamma=120.00
Sites, in units of the cell vectors:
Ac  0.000  0.000  0.000
Ac  0.000  0.000  0.402
Ac  0.333  0.667  0.885
Tb  0.333  0.667  0.504
Zn  0.003  0.501  0.205
Zn  0.354  0.177  0.694
Zn  0.499  0.501  0.205
Zn  0.499  0.997  0.205
Zn  0.667  0.333  0.443
Zn  0.667  0.333  0.959
Zn  0.823  0.177  0.694
Zn  0.823  0.646  0.694


Look up the DFT total energy of the second one.
-3.321 eV per atom